Compound: SiAs2CO
Source: Alexandria via LeMat-Bulk
Functional: PBE-GGA
Structure: optimized geometry

Geometry as extended XYZ:
```
5
Lattice="4.8011 0.0000 0.0000 0.0000 4.8011 0.0000 0.0000 0.0000 3.4578" Properties=species:S:1:pos:R:3 pbc="T T T"
Si 0.0000 0.0000 0.0000
As 0.0000 2.4006 0.0000
As 2.4006 0.0000 0.0000
C 0.0000 0.0000 1.7289
O 2.4006 2.4006 1.7289
```

Summary:
crystal system: tetragonal
density: 4.290 g cm⁻³
energy relative to the elements, uncorrected: 1.24 eV per atom
total magnetic moment: 0.00 μB per formula unit
space group: P4/mmm (123)